Entry 1:
Entry from Alexandria: KSc2Pb after structural relaxation (PBE-GGA).

Its energy relative to the elements is 0.2753 eV per atom. The total magnetization is 0.00 μB per formula unit.

The space group is Imm2 (No. 44) and the conventional cell measures 3.613, 5.550 and 11.538 Å, with angles of 90.00, 90.00 and 90.00 degrees. The inequivalent atoms are K at (0.000, 0.000, 0.000), Sc at (0.000, 0.000, 0.474), Sc at (0.000, 0.500, 0.214) and Pb at (0.000, 0.500, 0.756).


Entry 2:
Entry from Alexandria: Ho2Er7Zr2 after structural relaxation (PBE-GGA).

Its energy relative to the elements is 0.2476 eV per atom. The total magnetization is 0.00 μB per formula unit.

The space group is C2/m (No. 12) and the conventional cell measures 10.958, 11.086 and 5.778 Å, with angles of 90.00, 112.80 and 90.00 degrees. The inequivalent atoms are Ho at (0.000, 0.225, 0.000), Er at (0.000, 0.000, 0.500), Er at (0.175, 0.232, 0.666), Er at (0.242, 0.000, 0.102) and Zr at (0.070, 0.500, 0.294).


Entry 3:
Entry from Alexandria: Ba2Be2PdO6 after structural relaxation (PBE-GGA).

Its formation energy from raw total energies is -22.19 eV/f.u. The total magnetization is 0.00 μB per formula unit.

The space group is R-3m (No. 166, hexagonal axes) and the conventional cell measures 5.5064, 5.5064 and 16.5094 Å, with angles of 90.00, 90.00 and 120.00 degrees. The inequivalent atoms are Ba at (0.0000, 0.0000, 0.2214), Be at (0.0000, 0.0000, 0.4049), Pd at (0.0000, 0.0000, 0.0000) and O at (0.0075, 0.5037, 0.2570).


Entry 4:
Entry from Alexandria: BaRe2Ag after structural relaxation (PBE-GGA).

Its energy above the most stable polymorph in this dataset is 294.9 meV per atom. Its energy relative to the elements is 0.8265 eV per atom. The total magnetization is 0.00 μB per formula unit.

The space group is C2/m (No. 12) and the conventional cell measures 9.790, 3.812 and 5.979 Å, with angles of 90.00, 107.29 and 90.00 degrees. The inequivalent atoms are Ba at (0.000, 0.000, 0.000), Re at (0.225, 0.000, 0.598) and Ag at (0.000, 0.500, 0.500).


Entry 5:
Entry from Alexandria: K3Th2Te6Pd after structural relaxation (PBE-GGA).

Its formation energy from raw total energies is -12.09 eV/f.u. The total magnetization is 0.95 μB per formula unit.

The space group is C2/m (No. 12) and the conventional cell measures 8.033, 13.242 and 8.718 Å, with angles of 90.00, 109.04 and 90.00 degrees. The inequivalent atoms are K at (0.000, 0.000, 0.000), K at (0.000, 0.329, 0.000), Th at (0.000, 0.167, 0.500), Te at (0.223, 0.000, 0.727), Te at (0.224, 0.346, 0.696) and Pd at (0.000, 0.500, 0.500).


Entry 6:
Entry from Alexandria: CdFe2Si after structural relaxation (PBE-GGA).

Its formation energy from raw total energies is -0.04 eV/f.u. Its energy above the most stable polymorph in this dataset is 0.0 meV per atom. The total magnetization is 2.48 μB per formula unit.

The space group is P4/mmm (No. 123) and the conventional cell measures 2.806, 2.806 and 6.716 Å, with angles of 90.00, 90.00 and 90.00 degrees. The inequivalent atoms are Cd at (0.000, 0.000, 0.000), Fe at (0.500, 0.500, 0.306) and Si at (0.000, 0.000, 0.500).


Entry 7:
Entry from Alexandria: LaMnPt3 after structural relaxation (PBE-GGA).

Its energy above the most stable polymorph in this dataset is 1273.3 meV per atom. Its energy relative to the elements is 1.0147 eV per atom. The total magnetization is 4.52 μB per formula unit.

The space group is Pm-3m (No. 221) and the conventional cell measures 5.226, 5.226 and 5.226 Å, with angles of 90.00, 90.00 and 90.00 degrees. The inequivalent atoms are La at (0.000, 0.000, 0.000), Mn at (0.500, 0.500, 0.500) and Pt at (0.000, 0.000, 0.500).


Entry 8:
Entry from Alexandria: LuHf2Ga after structural relaxation (PBE-GGA).

Its energy relative to the elements is -0.1714 eV per atom. The total magnetization is 0.00 μB per formula unit.

The space group is P4/mmm (No. 123) and the conventional cell measures 4.382, 4.382 and 4.418 Å, with angles of 90.00, 90.00 and 90.00 degrees. The inequivalent atoms are Lu at (0.000, 0.000, 0.000), Hf at (0.000, 0.500, 0.500) and Ga at (0.500, 0.500, 0.000).


Entry 9:
Entry from Alexandria: SrLiTmPt2 after structural relaxation (PBE-GGA).

Its energy relative to the elements is -0.8457 eV per atom. The total magnetization is 0.00 μB per formula unit.

The space group is I-4m2 (No. 119) and the conventional cell measures 4.323, 4.323 and 12.352 Å, with angles of 90.00, 90.00 and 90.00 degrees. The inequivalent atoms are Sr at (0.000, 0.000, 0.000), Li at (0.000, 0.500, 0.750), Tm at (0.000, 0.500, 0.250) and Pt at (0.000, 0.000, 0.391).


Entry 10:
Entry from Alexandria: BeW3Cl after structural relaxation (PBE-GGA).

Its formation energy from raw total energies is 8.40 eV/f.u. Its energy above the most stable polymorph in this dataset is 0.0 meV per atom. The total magnetization is 0.00 μB per formula unit.

The space group is Pm-3m (No. 221) and the conventional cell measures 4.325, 4.325 and 4.325 Å, with angles of 90.00, 90.00 and 90.00 degrees. The inequivalent atoms are Be at (0.000, 0.000, 0.000), W at (0.000, 0.000, 0.500) and Cl at (0.500, 0.500, 0.500).


Entry 11:
Entry from Alexandria: Ba2Al2BiO6 after structural relaxation (PBE-GGA).

Its formation energy from raw total energies is -24.47 eV/f.u. The total magnetization is 0.00 μB per formula unit.

The space group is R-3m (No. 166, hexagonal axes) and the conventional cell measures 5.9713, 5.9713 and 19.0276 Å, with angles of 90.00, 90.00 and 120.00 degrees. The inequivalent atoms are Ba at (0.0000, 0.0000, 0.2062), Al at (0.0000, 0.0000, 0.4198), Bi at (0.0000, 0.0000, 0.0000) and O at (0.0007, 0.5004, 0.2421).


Entry 12:
Entry from Alexandria: CaCdOs2Pd after structural relaxation (PBE-GGA).

Its energy relative to the elements is 1.3397 eV per atom. The total magnetization is 2.47 μB per formula unit.

The space group is P4/mmm (No. 123) and the conventional cell measures 4.862, 4.862 and 4.980 Å, with angles of 90.00, 90.00 and 90.00 degrees. The inequivalent atoms are Ca at (0.000, 0.000, 0.000), Cd at (0.500, 0.500, 0.000), Os at (0.000, 0.500, 0.500) and Pd at (0.500, 0.500, 0.500).